VASP calculation (PBE) on an optimized crystal structure of CaZnCo.

```
CaZnCo
1.0
5.3341 0.0000 -0.0057
0.0000 4.0750 0.0000
-0.6808 0.0000 10.4806
Zn Co Ca
4 4 4
Direct
0.0109 0.0000 0.3764
0.0109 0.5000 0.8764
0.2874 0.0000 0.8032
0.2874 0.5000 0.3032
0.7664 0.0000 0.7971
0.5728 0.0000 0.2548
0.5728 0.5000 0.7548
0.7664 0.5000 0.2971
0.0294 0.0000 0.1027
0.5348 0.5000 0.0241
0.0294 0.5000 0.6027
0.5348 0.0000 0.5241
```

Calculated values
**Total moment**: 1.09 μB per formula unit
**Crystal system**: monoclinic
**Space-group type**: Cm (8)
**Energy of formation**: -22 kJ/mol of formula units


VASP calculation (PBE) on an optimized crystal structure of Ca2ZnCo.

```
Ca2ZnCo
1.0
-2.0250 2.7186 -1.1023
-1.9259 -2.2178 -1.9317
-6.2838 -3.2106 3.6255
Ca Co Zn
2 1 1
Direct
0.0000 0.5191 0.4797
0.0000 0.9809 0.0203
0.5000 0.2500 0.2500
0.5000 0.7500 0.7500
```

Calculated values
**Total moment**: 0.66 μB per formula unit
**Crystal system**: monoclinic
**Space-group type**: P2/m (10)
**Energy of formation**: 50 kJ/mol of formula units


VASP calculation (PBE) on an optimized crystal structure of CaZnCo2.

```
CaZnCo2
1.0
-2.3730 1.9709 2.9113
-0.5393 -3.6749 2.0482
5.5849 0.7202 7.1545
Co Zn Ca
4 2 2
Direct
0.8750 0.0392 0.7500
0.3750 0.2108 0.7500
0.9608 0.6250 0.2500
0.7892 0.1250 0.2500
0.7500 0.2500 0.5000
0.0000 0.0000 0.0000
0.2500 0.7500 0.5000
0.5000 0.5000 0.0000
```

Calculated values
**Total moment**: 2.14 μB per formula unit
**Crystal system**: tetragonal
**Space-group type**: I-42d (122)
**Energy of formation**: 136 kJ/mol of formula units


VASP calculation (PBE) on an optimized crystal structure of Ca2ZnCo.

```
Ca2ZnCo
1.0
-0.4083 2.1283 4.3798
2.9250 -1.3729 3.6659
3.5043 3.0123 1.5889
Zn Ca Co
1 2 1
Direct
0.7500 0.7500 0.7500
0.0000 0.0000 0.0000
0.2500 0.2500 0.2500
0.5000 0.5000 0.5000
```

Calculated values
**Total moment**: 0.87 μB per formula unit
**Crystal system**: cubic
**Space-group type**: F-43m (216)
**Energy of formation**: 118 kJ/mol of formula units


VASP calculation (PBE) on an optimized crystal structure of CaZnCo2.

```
CaZnCo2
1.0
-2.4006 0.2966 -2.1738
-0.1039 -3.2340 -0.3265
-4.2102 -0.3296 4.6044
Co Ca Zn
2 1 1
Direct
0.0000 0.0000 0.4281
0.0000 0.0000 0.0719
0.5000 0.5000 0.7500
0.5000 0.5000 0.2500
```

Calculated values
**Total moment**: 2.47 μB per formula unit
**Crystal system**: tetragonal
**Space-group type**: P4/mmm (123)
**Energy of formation**: 90 kJ/mol of formula units


VASP calculation (PBE) on an optimized crystal structure of CaZr2ZnCo.

```
CaZr2ZnCo
1.0
-2.1264 4.5442 -0.1792
-0.1966 0.0987 4.8364
4.5431 2.1315 0.1411
Ca Co Zr Zn
1 1 2 1
Direct
0.0000 0.0000 0.0000
0.5000 0.5000 0.5000
0.0000 0.0000 0.5000
0.5000 0.0000 0.0000
0.0000 0.5000 0.0000
```

Calculated values
**Total moment**: 1.59 μB per formula unit
**Crystal system**: tetragonal
**Space-group type**: P4/mmm (123)
**Energy of formation**: 898 kJ/mol of formula units


VASP calculation (PBE) on an optimized crystal structure of Ca2ZrCo.

```
Ca2ZrCo
1.0
5.0286 -0.0067 0.0000
0.0113 5.0286 0.0000
-2.5199 -2.5109 3.5541
Zr Ca Co
1 2 1
Direct
0.7500 0.2500 0.5000
0.0000 0.0000 0.0000
0.2500 0.7500 0.5000
0.5000 0.5000 0.0000
```

Calculated values
**Total moment**: 0.00 μB per formula unit
**Crystal system**: cubic
**Space-group type**: F-43m (216)
**E above lowest polymorph**: 451 meV per atom
**Energy of formation**: 194 kJ/mol of formula units


VASP calculation (PBE) on an optimized crystal structure of CaZrCo.

```
CaZrCo
1.0
4.5501 0.0000 0.0000
2.2750 3.9405 0.0000
2.2750 1.3135 3.7151
Co Ca Zr
1 1 1
Direct
0.7500 0.7500 0.7500
0.5000 0.5000 0.5000
0.0000 0.0000 0.0000
```

Calculated values
**Total moment**: 0.00 μB per formula unit
**Crystal system**: cubic
**Space-group type**: F-43m (216)
**E above lowest polymorph**: 293 meV per atom
**Energy of formation**: 99 kJ/mol of formula units


VASP calculation (PBE) on an optimized crystal structure of Ca2ZrCo.

```
Ca2ZrCo
1.0
0.0000 3.6359 3.6359
3.6359 0.0000 3.6359
3.6359 3.6359 0.0000
Zr Ca Co
1 2 1
Direct
0.5000 0.5000 0.5000
0.7500 0.7500 0.7500
0.2500 0.2500 0.2500
0.0000 0.0000 0.0000
```

Calculated values
**Total moment**: 0.29 μB per formula unit
**Crystal system**: cubic
**Space-group type**: Fm-3m (225)
**E above lowest polymorph**: 752 meV per atom
**Energy of formation**: 310 kJ/mol of formula units


VASP calculation (PBE) on an optimized crystal structure of Ca2ZrCo.

```
Ca2ZrCo
1.0
-2.4699 4.0592 -3.9963
-5.7019 -1.3167 -2.0744
3.6142 1.3015 4.8777
Co Ca Zr
1 2 1
Direct
0.4766 0.4766 0.0000
0.6980 0.1980 0.5000
0.0057 0.0057 0.0000
0.3196 0.8196 0.5000
```

Calculated values
**Total moment**: 0.00 μB per formula unit
**Crystal system**: orthorhombic
**Space-group type**: Imm2 (44)
**E above lowest polymorph**: 118 meV per atom
**Energy of formation**: 65 kJ/mol of formula units


VASP calculation (PBE) on an optimized crystal structure of CaZr3Co.

```
CaZr3Co
1.0
4.9775 0.0000 0.0000
0.0000 4.9775 0.0000
0.0000 0.0000 4.9775
Co Zr Ca
1 3 1
Direct
0.0000 0.0000 0.0000
0.0000 0.0000 0.5000
0.5000 0.0000 0.0000
0.0000 0.5000 0.0000
0.5000 0.5000 0.5000
```

Calculated values
**Total moment**: 0.00 μB per formula unit
**Crystal system**: cubic
**Space-group type**: Pm-3m (221)
**E above lowest polymorph**: 0 meV per atom
**Energy of formation**: 92 kJ/mol of formula units


VASP calculation (PBE) on an optimized crystal structure of Ca2ZrCo.

```
Ca2ZrCo
1.0
3.3965 0.0000 0.0000
0.0000 3.3943 0.0369
0.0000 3.2784 9.1578
Ca Zr Co
2 1 1
Direct
0.0000 0.0410 0.9601
0.5000 0.1763 0.3226
0.5000 0.8335 0.6669
0.0000 0.4492 0.5504
```

Calculated values
**Total moment**: 0.00 μB per formula unit
**Crystal system**: monoclinic
**Space-group type**: Pm (6)
**E above lowest polymorph**: 0 meV per atom
**Energy of formation**: 20 kJ/mol of formula units


Here are the calculated calculated total energy numbers, same order: -3.537, -2.966, -4.020, -2.790, -4.138, -3.635, -4.412, -5.543, -4.111, -4.745, -6.759, -4.862 (eV per atom).